# VCr2Pd8, relaxed, DFT PBE
# - E_tot: -6.467 eV/atom
# - Fermi-level density of states: 12.25 states/eV/f.u.
# - Calculated volume: 163.9 Å³/cell
data_VCr2Pd8
_cell_length_a 3.961
_cell_length_b 6.205
_cell_length_c 7.238
_cell_angle_alpha 106.07
_cell_angle_beta 105.88
_cell_angle_gamma 90.00
_symmetry_space_group_name_H-M 'P 1'
_symmetry_Int_Tables_number 1
loop_
_symmetry_equiv_pos_as_xyz
'x,y,z'
loop_
_atom_site_label
_atom_site_type_symbol
_atom_site_fract_x
_atom_site_fract_y
_atom_site_fract_z
V1 V 0.500 0.000 0.000
Pd1 Pd 0.597 0.448 0.195
Pd2 Pd 0.861 0.812 0.722
Pd3 Pd 0.044 0.731 0.088
Pd4 Pd 0.321 0.085 0.642
Pd5 Pd 0.956 0.269 0.912
Pd6 Pd 0.403 0.552 0.805
Pd7 Pd 0.139 0.188 0.278
Pd8 Pd 0.679 0.915 0.358
Cr1 Cr 0.223 0.645 0.445
Cr2 Cr 0.777 0.355 0.555